(1)
Computed, not measured: crystalline K2LaCl at its relaxed geometry at the PBE-GGA level of DFT.

POSCAR file:
```
K2LaCl
1.0
-0.314 -5.354 -4.448
4.303 -0.535 0.340
2.933 -4.141 4.777
K La Cl
2 1 1
direct
0.000 0.801 0.988
0.000 0.699 0.512
0.500 0.250 0.250
0.500 0.750 0.750
```

Values from the calculation:
Volume (Å³ per atom): 44.342
ΔE_f (raw) (eV per atom): -0.34

---

(2)
Computed, not measured: crystalline Co2AgOs at its relaxed geometry at the PBE-GGA level of DFT.

POSCAR file:
```
Co2AgOs
1.0
-3.668 -1.471 -3.487
1.304 -2.820 -4.258
-0.356 0.541 5.231
Os Co Ag
1 2 1
direct
0.476 0.476 0.000
0.240 0.740 0.500
0.024 0.024 0.000
0.759 0.259 0.500
```

Values from the calculation:
Volume (Å³ per atom): 13.624
Formation energy from the elements (eV/atom): 0.495